Computed, not measured: a relaxed structure of Cs2YHoTe4 at the PBE level of DFT.

CIF file:
```
data_Cs2YHoTe4
_space_group_name_H-M_alt 'P -3 m 1'
_space_group_IT_number 164
_space_group_name_Hall '-P 3 2"'
_cell_length_a 4.5373
_cell_length_b 4.5373
_cell_length_c 17.7979
_cell_angle_alpha 90.00
_cell_angle_beta 90.00
_cell_angle_gamma 120.00
loop_
_atom_site_label
_atom_site_type_symbol
_atom_site_fract_x
_atom_site_fract_y
_atom_site_fract_z
_atom_site_occupancy
Cs1 Cs 0.3333 0.6667 0.2499 1
Y1 Y 0.0000 0.0000 0.5000 1
Ho1 Ho 0.0000 0.0000 0.0000 1
Te1 Te 0.3333 0.6667 0.5960 1
Te2 Te 0.3333 0.6667 0.9049 1
```

---

Computed, not measured: a relaxed structure of AgPdPt at the PBE level of DFT.

energy of formation: 0.41 eV/atom
energy above the most stable polymorph in this dataset: 0.0000 eV per atom

CIF file:
```
data_AgPdPt
_space_group_name_H-M_alt 'F -4 3 m'
_space_group_IT_number 216
_space_group_name_Hall 'F -4 2 3'
_cell_length_a 6.1353
_cell_length_b 6.1353
_cell_length_c 6.1353
_cell_angle_alpha 90.00
_cell_angle_beta 90.00
_cell_angle_gamma 90.00
loop_
_atom_site_label
_atom_site_type_symbol
_atom_site_fract_x
_atom_site_fract_y
_atom_site_fract_z
_atom_site_occupancy
Ag1 Ag 0.0000 0.0000 0.0000 1
Pd1 Pd 0.0000 0.0000 0.5000 1
Pt1 Pt 0.2500 0.2500 0.2500 1
```

---

Computed, not measured: a relaxed structure of Er4SiCl5 at the PBE level of DFT.

CIF file:
```
data_Er4SiCl5
_space_group_name_H-M_alt 'C 1 2/m 1'
_space_group_IT_number 12
_space_group_name_Hall '-C 2y'
_cell_length_a 17.3146
_cell_length_b 3.8956
_cell_length_c 7.9898
_cell_angle_alpha 90.00
_cell_angle_beta 102.30
_cell_angle_gamma 90.00
loop_
_atom_site_label
_atom_site_type_symbol
_atom_site_fract_x
_atom_site_fract_y
_atom_site_fract_z
_atom_site_occupancy
Er1 Er 0.0002 0.0000 0.2295 1
Er2 Er 0.1540 0.5000 0.0828 1
Si1 Si 0.0000 0.5000 0.0000 1
Cl1 Cl 0.0000 0.5000 0.5000 1
Cl2 Cl 0.1656 0.0000 0.3216 1
Cl3 Cl 0.1744 0.0000 0.8497 1
```

---

In order of appearance, calculated total energy = -36.4, -51.3, -98.9 eV for the cell shown.